Entry 1:
LaP2Rh2: PBEsol geometry, meta-GGA SCAN.

The density of states at the Fermi level comes out at 5.0 states/eV/cell. Its formation energy is -1.25 eV/atom. As for the volume: 16.4 Å³/atom.

abc: 4.1448 4.1448 9.5562
angles: 90.00 90.00 90.00
Space group P4/nmm (No. 129, origin choice 2)
Asymmetric unit:
La 0.2500 0.2500 0.2426
P 0.2500 0.2500 0.6371
P 0.2500 0.7500 0.0000
Rh 0.2500 0.2500 0.8876
Rh 0.2500 0.7500 0.5000

Entry 2:
LaP2Ru2: PBEsol geometry, meta-GGA SCAN.

The density of states at the Fermi level comes out at 4.9 states/eV/cell. Its formation energy is -1.15 eV/atom. As for the volume: 17.0 Å³/atom.

abc: 4.0088 4.0088 10.5958
angles: 90.00 90.00 90.00
Space group I4/mmm (No. 139)
Asymmetric unit:
La 0.0000 0.0000 0.0000
P 0.0000 0.0000 0.3593
Ru 0.0000 0.5000 0.2500

> The lowest volume belongs to which entry?

LaP2Rh2

> What is the volume in the second record?

17.0 Å³/atom

> volume of number 2 (LaP2Ru2)?

17.0 Å³/atom